Entry 1:
Nd4Sm3Se8: relaxed, PBE.

## Properties
Symmetry = C2/m, No. 12
Final energy = -5.943 eV/atom
Theoretical density = 6.62 g/cm³
Formation energy from raw total energies = -1.87 eV per atom

Cell and atoms, written as extended XYZ:
```
15
Lattice="5.925 -5.926 0.000 5.925 5.926 0.000 -5.917 0.000 5.928" Properties=species:S:1:pos:R:3 pbc="T T T"
Nd 0.000 0.000 0.000
Nd 2.963 2.963 0.000
Nd 2.963 -2.963 0.000
Nd 2.967 0.000 2.964
Sm 0.004 2.963 2.964
Sm 0.004 -2.963 2.964
Sm 5.925 0.000 0.000
Se 2.967 3.012 2.964
Se -0.046 0.000 2.983
Se -2.935 0.000 5.879
Se 5.925 2.944 0.000
Se 5.925 -2.944 0.000
Se 8.869 0.000 0.048
Se 5.980 0.000 2.945
Se 2.967 -3.012 2.964
```


Entry 2:
Pu2SbAs: relaxed, PBE.

## Properties
Symmetry = Cmcm, No. 63
Final energy = -10.086 eV/atom
Theoretical density = 10.87 g/cm³
Formation energy from raw total energies = -0.73 eV per atom

Cell and atoms, written as extended XYZ:
```
8
Lattice="2.048 -7.692 0.000 2.048 7.692 0.000 0.000 0.000 6.641" Properties=species:S:1:pos:R:3 pbc="T T T"
Pu 2.048 5.703 3.425
Pu 2.048 5.703 6.535
Pu 2.048 -5.703 0.105
Pu 2.048 -5.703 3.215
Sb 2.048 0.162 4.980
Sb 2.048 -0.162 1.660
As 2.048 3.457 1.660
As 2.048 -3.457 4.980
```


Entry 3:
ErThTc: relaxed, PBE.

## Properties
E_form = -0.059 eV per atom
Symmetry = Fdd2, No. 43
Final energy = -7.509 eV/atom
ΔE to the lowest computed polymorph = 0.039 eV/atom
Theoretical density = 10.16 g/cm³

Cell and atoms, written as extended XYZ:
```
12
Lattice="0.000 6.144 4.427 5.974 0.000 4.427 5.974 6.144 0.000" Properties=species:S:1:pos:R:3 pbc="T T T"
Er 7.430 3.951 4.427
Er 7.505 7.023 6.641
Er 4.518 8.337 4.427
Er 4.443 5.265 6.641
Th 8.129 7.547 3.058
Th 11.116 7.813 5.271
Th 3.819 4.741 3.058
Th 6.806 10.619 5.271
Tc 5.312 2.661 2.631
Tc 9.623 5.733 4.845
Tc 0.662 3.483 2.631
Tc 2.325 6.555 4.845
```


Entry 4:
Ca2CdGaPt: relaxed, PBE.

## Properties
E_form = -0.503 eV per atom
Symmetry = P4/mmm, No. 123
Final energy = -3.300 eV/atom
Theoretical density = 5.12 g/cm³

Cell and atoms, written as extended XYZ:
```
5
Lattice="5.556 0.000 0.000 0.000 5.556 0.000 0.000 0.000 4.801" Properties=species:S:1:pos:R:3 pbc="T T T"
Ca 0.000 2.778 0.000
Ca 2.778 0.000 0.000
Cd 0.000 0.000 2.400
Ga 2.778 2.778 2.400
Pt 2.778 2.778 0.000
```


Entry 5:
CsCrHgBr6: relaxed, PBE.

## Properties
Symmetry = P312, No. 149
Final energy = -3.192 eV/atom
Theoretical density = 4.10 g/cm³
Formation energy from raw total energies = -0.88 eV per atom

Cell and atoms, written as extended XYZ:
```
9
Lattice="7.088 0.000 0.000 -3.544 6.138 0.000 0.000 0.000 8.060" Properties=species:S:1:pos:R:3 pbc="T T T"
Cs 0.000 0.000 0.000
Cr 0.000 4.092 4.030
Hg 3.544 2.046 4.030
Br -1.128 2.386 5.524
Br -2.041 3.968 2.536
Br 1.128 2.386 2.536
Br -0.913 5.921 5.524
Br 2.041 3.968 5.524
Br 0.913 5.921 2.536
```


Entry 6:
TbZrRh4: relaxed, PBE.

## Properties
E_form = -0.249 eV per atom
Symmetry = P4/mmm, No. 123
Final energy = -7.346 eV/atom
ΔE to the lowest computed polymorph = 0.400 eV/atom
Theoretical density = 9.15 g/cm³

Cell and atoms, written as extended XYZ:
```
6
Lattice="3.830 0.000 0.000 0.000 3.830 0.000 0.000 0.000 8.189" Properties=species:S:1:pos:R:3 pbc="T T T"
Tb 0.000 0.000 0.000
Zr 1.915 1.915 4.094
Rh 0.000 1.915 2.166
Rh 0.000 1.915 6.022
Rh 1.915 0.000 2.166
Rh 1.915 0.000 6.022
```